[1]
Entry from Alexandria: a relaxed structure of Tm2PuAu (GGA-PBE).

For the formation energy from the elements, the calculation gives -0.3422 eV/atom. For the density of states at the Fermi level, the calculation gives 7.26 states/eV per cell.

The space group is P4/mmm (No. 123) and the conventional cell measures 3.524, 3.524 and 8.305 Å, with angles of 90.00, 90.00 and 90.00 degrees. The inequivalent atoms are Tm at (0.000, 0.000, 0.210), Pu at (0.500, 0.500, 0.500) and Au at (0.500, 0.500, 0.000).

=====

[2]
Entry from Alexandria: a relaxed structure of CrPdAu (GGA-PBE).

For the formation energy from the elements, the calculation gives 0.0540 eV/atom. For the density of states at the Fermi level, the calculation gives 7.11 states/eV per cell.

The space group is I4mm (No. 107) and the conventional cell measures 3.272, 3.272 and 9.007 Å, with angles of 90.00, 90.00 and 90.00 degrees. The inequivalent atoms are Cr at (0.000, 0.000, 0.000), Pd at (0.000, 0.000, 0.649) and Au at (0.000, 0.000, 0.332).

=====

[3]
Entry from Alexandria: a relaxed structure of LaTe5 (GGA-PBE).

As for the raw total energy: -3.68 eV/atom. For the density of states at the Fermi level, the calculation gives 33.21 states/eV per cell.

The space group is F-43m (No. 216) and the conventional cell measures 9.004, 9.004 and 9.004 Å, with angles of 90.00, 90.00 and 90.00 degrees. The inequivalent atoms are La at (0.000, 0.000, 0.000), Te at (0.125, 0.125, 0.375) and Te at (0.250, 0.250, 0.750).

=====

[4]
Entry from Alexandria: a relaxed structure of NaLiN2O (GGA-PBE).

As for the raw total energy: -3.42 eV/atom. For the density of states at the Fermi level, the calculation gives 3.16 states/eV per cell.

The space group is P4/mmm (No. 123) and the conventional cell measures 4.543, 4.543 and 4.310 Å, with angles of 90.00, 90.00 and 90.00 degrees. The inequivalent atoms are Na at (0.000, 0.000, 0.000), Li at (0.500, 0.500, 0.500), N at (0.000, 0.500, 0.000) and O at (0.000, 0.000, 0.500).